The following is a GGA+U calculation of Rb2W3SeO12 after structural relaxation, from Alexandria.

Structure (extended XYZ):
```
36
Lattice="7.3711 0.0000 0.0000 -3.6856 6.3836 0.0000 0.0000 0.0000 12.5821" Properties=species:S:1:pos:R:3 pbc="T T T"
O 3.6846 0.5595 3.8623
O 1.4783 5.1068 7.8812
O 3.6877 3.8336 1.5901
O 1.3823 0.7992 9.4726
O 5.0443 2.9112 3.8623
O 1.3577 3.4707 10.1534
O 2.2073 1.2768 1.5901
O 2.3278 2.9129 3.8623
O 3.6871 4.7980 5.4317
O 0.0010 5.8240 10.1534
O 5.1617 1.2732 1.5901
O -2.3116 5.5921 11.7227
O 3.6865 4.7869 9.4726
O -0.0021 2.5500 7.8812
O -1.3587 3.4724 10.1534
O 5.9878 0.7975 9.4726
O 2.3032 5.5844 3.1815
O 2.3132 5.5894 11.7227
O -0.0010 1.5967 3.1815
O 5.9972 0.7914 5.4317
O -2.3023 5.5861 3.1815
O -1.4762 5.1104 7.8812
O -0.0016 1.5856 11.7227
O 1.3724 0.7942 5.4317
W -1.8131 5.3050 9.6075
W 1.8153 5.3013 9.6075
W 1.8703 1.0823 3.3164
W -0.0022 2.1608 9.6075
W 5.4987 1.0785 3.3164
W 3.6877 4.2227 3.3164
Rb 0.0000 4.2557 0.6574
Rb 3.6856 2.1279 11.7915
Rb 0.0000 4.2557 5.5004
Rb 3.6856 2.1279 6.9484
Se 0.0000 0.0000 6.1654
Se 0.0000 0.0000 12.4564
```

total DFT energy (no corrections) = -6.67 eV/atom